A geometry-optimized Ta3ReB structure. Source: Alexandria via LeMat-Bulk, functional PBE-GGA.

The space group is Pm-3m (No. 221) and the conventional cell measures 4.322, 4.322 and 4.322 Å, with angles of 90.00, 90.00 and 90.00 degrees. Symmetry generates all atoms from Ta at (0.000, 0.000, 0.500), Re at (0.500, 0.500, 0.500) and B at (0.000, 0.000, 0.000).

The value obtained for the density is 15.22 g cm⁻³. The magnetic moment comes out at 0.00 μB per atom. Its density of states at the Fermi level is 1.529 states/eV/atom. As for the offset from the most stable computed form: 0 meV/atom. The formation energy is 0.125 eV per atom.

=====

A geometry-optimized Y6Ge2SbS3 structure. Source: Alexandria via LeMat-Bulk, functional PBE-GGA.

The space group is C2/m (No. 12) and the conventional cell measures 17.815, 4.104 and 8.197 Å, with angles of 90.00, 102.72 and 90.00 degrees. Symmetry generates all atoms from Y at (0.002, 0.000, 0.266), Y at (0.168, 0.500, 0.583), Y at (0.172, 0.500, 0.092), Ge at (0.167, 0.000, 0.334), Sb at (0.000, 0.500, 0.000), S at (0.000, 0.500, 0.500) and S at (0.165, 0.000, 0.833).

The value obtained for the density is 5.09 g cm⁻³. As for the uncorrected formation energy: -1501 meV/atom. The magnetic moment comes out at 0.00 μB per atom. Its density of states at the Fermi level is 0.173 states/eV/atom.

=====

A geometry-optimized MnFe2NiC structure. Source: Alexandria via LeMat-Bulk, functional PBE-GGA.

The space group is P4/mmm (No. 123) and the conventional cell measures 3.748, 3.748 and 3.836 Å, with angles of 90.00, 90.00 and 90.00 degrees. Symmetry generates all atoms from Mn at (0.000, 0.000, 0.000), Fe at (0.000, 0.500, 0.500), Ni at (0.500, 0.500, 0.000) and C at (0.000, 0.000, 0.500).

The value obtained for the density is 7.31 g cm⁻³. The magnetic moment comes out at 1.39 μB per atom. Its density of states at the Fermi level is 0.705 states/eV/atom. As for the offset from the most stable computed form: 0 meV/atom. The formation energy is 0.091 eV per atom.

=====

A geometry-optimized KCr3Co structure. Source: Alexandria via LeMat-Bulk, functional PBE-GGA.

The space group is Pm-3m (No. 221) and the conventional cell measures 4.742, 4.742 and 4.742 Å, with angles of 90.00, 90.00 and 90.00 degrees. Symmetry generates all atoms from K at (0.000, 0.000, 0.000), Cr at (0.000, 0.500, 0.500) and Co at (0.500, 0.500, 0.500).

The value obtained for the density is 3.96 g cm⁻³. The magnetic moment comes out at 2.12 μB per atom. Its density of states at the Fermi level is 1.673 states/eV/atom. As for the offset from the most stable computed form: 0 meV/atom. The formation energy is 1.235 eV per atom.

=====

A geometry-optimized YZrBe structure. Source: Alexandria via LeMat-Bulk, functional PBE-GGA.

The space group is F-43m (No. 216) and the conventional cell measures 6.468, 6.468 and 6.468 Å, with angles of 90.00, 90.00 and 90.00 degrees. Symmetry generates all atoms from Y at (0.000, 0.000, 0.000), Zr at (0.000, 0.000, 0.500) and Be at (0.250, 0.250, 0.750).

The value obtained for the density is 4.64 g cm⁻³. The magnetic moment comes out at 0.00 μB per atom. Its density of states at the Fermi level is 1.639 states/eV/atom. As for the offset from the most stable computed form: 275 meV/atom. The formation energy is 0.366 eV per atom.

=====

A geometry-optimized PtC5 structure. Source: Alexandria via LeMat-Bulk, functional PBE-GGA.

The space group is F-43m (No. 216) and the conventional cell measures 6.060, 6.060 and 6.060 Å, with angles of 90.00, 90.00 and 90.00 degrees. Symmetry generates all atoms from Pt at (0.000, 0.000, 0.000), C at (0.092, 0.092, 0.408) and C at (0.250, 0.250, 0.750).

The value obtained for the density is 7.61 g cm⁻³. The magnetic moment comes out at 0.00 μB per atom. Its density of states at the Fermi level is 0.709 states/eV/atom. As for the offset from the most stable computed form: 2624 meV/atom. The formation energy is 3.331 eV per atom.

=====

A geometry-optimized Sr2LaTcO6 structure. Source: Alexandria via LeMat-Bulk, functional PBE-GGA.

The space group is P2_1/c (No. 14) and the conventional cell measures 5.906, 6.062 and 10.231 Å, with angles of 90.00, 124.52 and 90.00 degrees. Symmetry generates all atoms from Sr at (0.236, 0.047, 0.251), La at (0.500, 0.000, 0.000), Tc at (0.000, 0.000, 0.500), O at (0.126, 0.231, 0.945), O at (0.222, 0.688, 0.952) and O at (0.319, 0.034, 0.725).

The value obtained for the density is 5.59 g cm⁻³. As for the uncorrected formation energy: -2519 meV/atom. The magnetic moment comes out at 0.20 μB per atom. Its density of states at the Fermi level is 0.580 states/eV/atom.

=====

A geometry-optimized NaAcBi6 structure. Source: Alexandria via LeMat-Bulk, functional PBE-GGA.

The space group is P4/mmm (No. 123) and the conventional cell measures 7.216, 7.216 and 4.925 Å, with angles of 90.00, 90.00 and 90.00 degrees. Symmetry generates all atoms from Na at (0.000, 0.000, 0.000), Ac at (0.500, 0.500, 0.000), Bi at (0.000, 0.500, 0.000) and Bi at (0.240, 0.240, 0.500).

The value obtained for the density is 9.74 g cm⁻³. The magnetic moment comes out at 0.00 μB per atom. Its density of states at the Fermi level is 0.534 states/eV/atom. The formation energy is -0.328 eV per atom.

=====

A geometry-optimized Na2IO2 structure. Source: Alexandria via LeMat-Bulk, functional PBE-GGA.

The space group is I4/mmm (No. 139) and the conventional cell measures 3.471, 3.471 and 16.194 Å, with angles of 90.00, 90.00 and 90.00 degrees. Symmetry generates all atoms from Na at (0.000, 0.000, 0.158), I at (0.000, 0.000, 0.500) and O at (0.000, 0.500, 0.250).

The value obtained for the density is 3.49 g cm⁻³. As for the uncorrected formation energy: -375 meV/atom. The magnetic moment comes out at 0.00 μB per atom. Its density of states at the Fermi level is 0.571 states/eV/atom. As for the offset from the most stable computed form: 0 meV/atom.

=====

A geometry-optimized Th3ZrN structure. Source: Alexandria via LeMat-Bulk, functional PBE-GGA.

The space group is Pm-3m (No. 221) and the conventional cell measures 5.018, 5.018 and 5.018 Å, with angles of 90.00, 90.00 and 90.00 degrees. Symmetry generates all atoms from Th at (0.000, 0.000, 0.500), Zr at (0.500, 0.500, 0.500) and N at (0.000, 0.000, 0.000).

The value obtained for the density is 10.53 g cm⁻³. As for the uncorrected formation energy: -583 meV/atom. The magnetic moment comes out at 0.00 μB per atom. Its density of states at the Fermi level is 1.031 states/eV/atom.

=====

A geometry-optimized Sm8Ga2Ni structure. Source: Alexandria via LeMat-Bulk, functional PBE-GGA.

The space group is C2/m (No. 12) and the conventional cell measures 18.508, 4.999 and 6.758 Å, with angles of 90.00, 101.90 and 90.00 degrees. Symmetry generates all atoms from Sm at (0.020, 0.000, 0.279), Sm at (0.092, 0.500, 0.961), Sm at (0.151, 0.500, 0.478), Sm at (0.209, 0.000, 0.812), Ga at (0.187, 0.000, 0.253) and Ni at (0.000, 0.500, 0.500).

The value obtained for the density is 7.61 g cm⁻³. The magnetic moment comes out at 0.00 μB per atom. Its density of states at the Fermi level is 0.968 states/eV/atom. As for the offset from the most stable computed form: 0 meV/atom. The formation energy is -0.248 eV per atom.

=====

A geometry-optimized LaZnFeC structure. Source: Alexandria via LeMat-Bulk, functional PBE-GGA.

The space group is P4/nmm (No. 129, origin choice 2) and the conventional cell measures 3.497, 3.497 and 10.937 Å, with angles of 90.00, 90.00 and 90.00 degrees. Symmetry generates all atoms from La at (0.250, 0.250, 0.223), Zn at (0.250, 0.750, 0.500), Fe at (0.250, 0.750, 0.000) and C at (0.250, 0.250, 0.916).

The value obtained for the density is 6.76 g cm⁻³. The magnetic moment comes out at 0.00 μB per atom. Its density of states at the Fermi level is 0.811 states/eV/atom. The formation energy is -0.144 eV per atom.

=====

Copy entry 2 word for word.
A geometry-optimized Y6Ge2SbS3 structure. Source: Alexandria via LeMat-Bulk, functional PBE-GGA.

The space group is C2/m (No. 12) and the conventional cell measures 17.815, 4.104 and 8.197 Å, with angles of 90.00, 102.72 and 90.00 degrees. Symmetry generates all atoms from Y at (0.002, 0.000, 0.266), Y at (0.168, 0.500, 0.583), Y at (0.172, 0.500, 0.092), Ge at (0.167, 0.000, 0.334), Sb at (0.000, 0.500, 0.000), S at (0.000, 0.500, 0.500) and S at (0.165, 0.000, 0.833).

The value obtained for the density is 5.09 g cm⁻³. As for the uncorrected formation energy: -1501 meV/atom. The magnetic moment comes out at 0.00 μB per atom. Its density of states at the Fermi level is 0.173 states/eV/atom.

=====

Q: Look up the magnetic moment of the eleventh one.
A: 0.00 μB per atom

=====

Q: Number 11 is which compound?
A: Sm8Ga2Ni